No. 1
Here is a relaxed CoSb2Mo crystal from the Alexandria database. Energies are from PBE-GGA.

It has space group P2/m (No. 10), with a = 3.3409 Å, b = 3.3382 Å, c = 6.2877 Å, α = 90.00°, β = 91.78° and γ = 90.00°. The asymmetric unit holds Co at (0.0000, 0.0000, 0.0000), Sb at (0.4860, 0.5000, 0.2462) and Mo at (0.0000, 0.0000, 0.5000).

Its total magnetic moment is 1.2 μB per cell. For the uncorrected formation energy, the calculation gives 0.28 eV per atom. For the final energy, the calculation gives -25.1 eV per cell.

=====

No. 2
Here is a relaxed InSb2Se crystal from the Alexandria database. Energies are from PBE-GGA.

It has space group Amm2 (No. 38), with a = 4.3058 Å, b = 4.2250 Å, c = 12.7594 Å, α = 90.00°, β = 90.00° and γ = 90.00°. The asymmetric unit holds In at (0.0000, 0.0000, 0.0000), Sb at (0.5000, 0.0000, 0.2948), Sb at (0.5000, 0.0000, 0.5210) and Se at (0.0000, 0.0000, 0.7776).

Its total magnetic moment is 0.0 μB per cell. For the uncorrected formation energy, the calculation gives -0.07 eV per atom. For the final energy, the calculation gives -29.5 eV per cell.

=====

No. 3
Here is a relaxed SrAg2Br crystal from the Alexandria database. Energies are from PBE-GGA.

It has space group Immm (No. 71), with a = 3.8762 Å, b = 4.5731 Å, c = 12.2250 Å, α = 90.00°, β = 90.00° and γ = 90.00°. The asymmetric unit holds Sr at (0.0000, 0.0000, 0.0000), Ag at (0.0000, 0.5000, 0.2541) and Br at (0.0000, 0.0000, 0.5000).

Its total magnetic moment is 0.0 μB per cell. For the uncorrected formation energy, the calculation gives -0.54 eV per atom. For the final energy, the calculation gives -22.4 eV per cell.

=====

No. 4
Here is a relaxed CdAs crystal from the Alexandria database. Energies are from PBE-GGA.

It has space group P6_3mc (No. 186), with a = 3.9660 Å, b = 3.9660 Å, c = 8.0689 Å, α = 90.00°, β = 90.00° and γ = 120.00°. The asymmetric unit holds Cd at (0.3333, 0.6667, 0.0000) and As at (0.3333, 0.6667, 0.6755).

Its total magnetic moment is 0.0 μB per cell. For the final energy, the calculation gives -10.4 eV per cell.

=====

No. 5
Here is a relaxed Sr2ScPb crystal from the Alexandria database. Energies are from PBE-GGA.

It has space group I-4m2 (No. 119), with a = 5.1014 Å, b = 5.1014 Å, c = 10.4560 Å, α = 90.00°, β = 90.00° and γ = 90.00°. The asymmetric unit holds Sr at (0.0000, 0.0000, 0.0000), Sr at (0.0000, 0.5000, 0.2500), Sc at (0.0000, 0.0000, 0.5000) and Pb at (0.0000, 0.5000, 0.7500).

Its total magnetic moment is 0.0 μB per cell. For the final energy, the calculation gives -27.1 eV per cell.

=====

No. 6
Here is a relaxed Rb3AsS crystal from the Alexandria database. Energies are from PBE-GGA.

It has space group P-1 (No. 2), with a = 4.5296 Å, b = 8.9382 Å, c = 10.2234 Å, α = 84.08°, β = 89.94° and γ = 75.42°. The asymmetric unit holds Rb at (0.0606, 0.3807, 0.1372), Rb at (0.2358, 0.0280, 0.8423), Rb at (0.4035, 0.6917, 0.3830), As at (0.2168, 0.0668, 0.4693) and S at (0.3882, 0.7211, 0.0779).

Its total magnetic moment is 0.0 μB per cell. For the uncorrected formation energy, the calculation gives -0.64 eV per atom. For the final energy, the calculation gives -29.7 eV per cell.

=====

No. 7
Here is a relaxed Tb3Y8Th2 crystal from the Alexandria database. Energies are from PBE-GGA.

It has space group C2/m (No. 12), with a = 20.7178 Å, b = 7.3925 Å, c = 5.7328 Å, α = 90.00°, β = 90.04° and γ = 90.00°. The asymmetric unit holds Tb at (0.0000, 0.0000, 0.0000), Tb at (0.0000, 0.2741, 0.5000), Y at (0.1092, 0.2821, 0.9995), Y at (0.1405, 0.0000, 0.4992), Y at (0.1700, 0.5000, 0.5001) and Th at (0.2452, 0.0000, 0.9994).

Its total magnetic moment is 0.0 μB per cell. For the final energy, the calculation gives -153.7 eV per cell.

=====

No. 8
Here is a relaxed AgI2Cl8 crystal from the Alexandria database. Energies are from PBE-GGA.

It has space group C2/c (No. 15), with a = 15.5586 Å, b = 9.4049 Å, c = 13.4411 Å, α = 90.00°, β = 123.88° and γ = 90.00°. The asymmetric unit holds Ag at (0.0000, 0.1666, 0.2500), I at (0.2434, 0.4772, 0.4863), Cl at (0.0829, 0.1584, 0.4670), Cl at (0.0999, 0.3915, 0.9598), Cl at (0.1391, 0.3761, 0.2760) and Cl at (0.1409, 0.0569, 0.7986).

Its total magnetic moment is 3.7 μB per cell. For the uncorrected formation energy, the calculation gives -0.21 eV per atom. For the final energy, the calculation gives -92.1 eV per cell.

=====

- Number 3 is which compound?
  SrAg2Br